PBE BaMgTi2P, relaxed; V = 27.30 A^3/atom; space group = No. 123; formation energy from the elements = 1.97 eV per atom
1.0
4.960 0.000 0.000
0.000 5.549 0.000
0.000 0.000 4.960
Ti Ba Mg P
2 1 1 1
Cartesian
2.480 0.000 0.000
0.000 0.000 2.480
0.000 0.000 0.000
0.000 2.775 0.000
2.480 2.775 2.480